Here is a relaxed K2TmCo3F12 crystal from the Alexandria database. Energies are from PBE with a Hubbard U.

a = 7.4330 Å, b = 7.4330 Å, c = 18.5929 Å
α = 90.00°, β = 90.00°, γ = 120.00°
Space group R-3m (No. 166, hexagonal axes)
Unique sites:
K: 0.0000 0.0000 0.1065 x6
Tm: 0.0000 0.0000 0.5000 x3
Co: 0.0000 0.5000 0.0000 x9
F: 0.0487 0.5243 0.1073 x18
F: 0.0692 0.5346 0.3498 x18

- DOS at the Fermi energy: 0.4508 states/eV/atom
- M_tot: 30.001 Bohr magnetons per cell
- Raw total energy: -278.29 eV for the cell shown

***

Here is a relaxed KTmCoF6 crystal from the Alexandria database. Energies are from PBE with a Hubbard U.

a = 7.132 Å, b = 7.410 Å, c = 10.316 Å
α = 90.00°, β = 90.00°, γ = 90.00°
Space group Imma (No. 74)
Unique sites:
K: 0.000 0.250 0.097 x4
Tm: 0.000 0.000 0.500 x4
Co: 0.250 0.250 0.750 x4
F: 0.000 0.250 0.388 x4
F: 0.000 0.250 0.646 x4
F: 0.234 0.047 0.883 x16

- DOS at the Fermi energy: 0.0000 states/eV/atom
- M_tot: 12.001 Bohr magnetons per cell
- Raw total energy: -200.90 eV for the cell shown

***

Here is a relaxed K2VCoF6 crystal from the Alexandria database. Energies are from PBE with a Hubbard U.

a = 5.856 Å, b = 5.856 Å, c = 8.448 Å
α = 90.00°, β = 90.00°, γ = 90.00°
Space group I4/mmm (No. 139)
Unique sites:
K: 0.000 0.500 0.250 x4
V: 0.000 0.000 0.000 x2
Co: 0.000 0.000 0.500 x2
F: 0.000 0.000 0.249 x4
F: 0.244 0.244 0.500 x8

- M_tot: 12.000 Bohr magnetons per cell
- Raw total energy: -103.91 eV for the cell shown

***

Here is a relaxed KVCoF6 crystal from the Alexandria database. Energies are from PBE with a Hubbard U.

a = 5.420 Å, b = 5.423 Å, c = 5.697 Å
α = 90.10°, β = 90.29°, γ = 119.51°
Space group P1 (No. 1)
Unique sites:
K: 0.000 0.000 0.000 x1
V: 0.669 0.333 0.500 x1
Co: 0.334 0.668 0.500 x1
F: 0.377 0.014 0.689 x1
F: 0.383 0.372 0.306 x1
F: 0.628 0.012 0.307 x1
F: 0.628 0.618 0.693 x1
F: 0.988 0.618 0.307 x1
F: 0.990 0.379 0.696 x1

- DOS at the Fermi energy: 0.0000 states/eV/atom
- M_tot: 4.998 Bohr magnetons per cell
- Raw total energy: -48.79 eV for the cell shown

***

Here is a relaxed K2VCo3F12 crystal from the Alexandria database. Energies are from PBE with a Hubbard U.

a = 7.2960 Å, b = 7.2960 Å, c = 18.7258 Å
α = 90.00°, β = 90.00°, γ = 120.00°
Space group R-3m (No. 166, hexagonal axes)
Unique sites:
K: 0.0000 0.0000 0.0979 x6
V: 0.0000 0.0000 0.5000 x3
Co: 0.0000 0.5000 0.0000 x9
F: 0.0613 0.5306 0.3604 x18
F: 0.0855 0.5428 0.1111 x18

- M_tot: 30.005 Bohr magnetons per cell
- Raw total energy: -274.71 eV for the cell shown

***

Here is a relaxed KCo2WF8 crystal from the Alexandria database. Energies are from PBE with a Hubbard U.

a = 5.4243 Å, b = 5.4243 Å, c = 22.5817 Å
α = 90.00°, β = 90.00°, γ = 120.00°
Space group R-3 (No. 148, hexagonal axes)
Unique sites:
K: 0.0000 0.0000 0.0000 x3
Co: 0.0000 0.0000 0.2497 x6
W: 0.0000 0.0000 0.5000 x3
F: 0.0000 0.0000 0.3319 x6
F: 0.0029 0.3239 0.5533 x18

- DOS at the Fermi energy: 0.0000 states/eV/atom
- M_tot: 26.942 Bohr magnetons per cell
- Raw total energy: -183.18 eV for the cell shown

***

Here is a relaxed K2ZnCo3F12 crystal from the Alexandria database. Energies are from PBE with a Hubbard U.

a = 7.2945 Å, b = 7.2945 Å, c = 17.6509 Å
α = 90.00°, β = 90.00°, γ = 120.00°
Space group R-3m (No. 166, hexagonal axes)
Unique sites:
K: 0.0000 0.0000 0.1259 x6
Zn: 0.0000 0.0000 0.5000 x3
Co: 0.0000 0.5000 0.0000 x9
F: 0.0565 0.5282 0.1073 x18
F: 0.0706 0.5353 0.3525 x18

- DOS at the Fermi energy: 0.1523 states/eV/atom
- M_tot: 20.867 Bohr magnetons per cell
- Raw total energy: -242.61 eV for the cell shown

***

Here is a relaxed K2Zn3CoF12 crystal from the Alexandria database. Energies are from PBE with a Hubbard U.

a = 7.2010 Å, b = 7.2010 Å, c = 18.2718 Å
α = 90.00°, β = 90.00°, γ = 120.00°
Space group R-3m (No. 166, hexagonal axes)
Unique sites:
K: 0.0000 0.0000 0.1149 x6
Zn: 0.0000 0.5000 0.0000 x9
Co: 0.0000 0.0000 0.5000 x3
F: 0.0632 0.5316 0.3635 x18
F: 0.0882 0.5441 0.1112 x18

- DOS at the Fermi energy: 0.5349 states/eV/atom
- M_tot: 1.842 Bohr magnetons per cell
- Raw total energy: -221.35 eV for the cell shown

***

Here is a relaxed KZnCo2F8 crystal from the Alexandria database. Energies are from PBE with a Hubbard U.

a = 4.987 Å, b = 5.018 Å, c = 6.540 Å
α = 90.17°, β = 90.15°, γ = 93.43°
Space group P-1 (No. 2)
Unique sites:
K: 0.000 0.000 0.000 x1
Zn: 0.000 0.000 0.500 x1
Co: 0.499 0.499 0.257 x2
F: 0.227 0.217 0.293 x2
F: 0.227 0.218 0.708 x2
F: 0.303 0.688 0.500 x2
F: 0.331 0.655 0.000 x2

- DOS at the Fermi energy: 0.4978 states/eV/atom
- M_tot: 7.000 Bohr magnetons per cell
- Raw total energy: -53.47 eV for the cell shown

***

Here is a relaxed KZnCoF6 crystal from the Alexandria database. Energies are from PBE with a Hubbard U.

a = 7.145 Å, b = 7.225 Å, c = 10.190 Å
α = 90.00°, β = 90.00°, γ = 90.00°
Space group Imma (No. 74)
Unique sites:
K: 0.000 0.250 0.120 x4
Zn: 0.250 0.250 0.750 x4
Co: 0.000 0.000 0.500 x4
F: 0.000 0.250 0.443 x4
F: 0.000 0.250 0.838 x4
F: 0.187 0.035 0.624 x16

- DOS at the Fermi energy: 0.0000 states/eV/atom
- M_tot: 0.249 Bohr magnetons per cell
- Raw total energy: -155.27 eV for the cell shown

***

Here is a relaxed KZrCoF2 crystal from the Alexandria database. Energies are from PBE with a Hubbard U.

a = 4.469 Å, b = 4.469 Å, c = 5.935 Å
α = 90.00°, β = 90.00°, γ = 90.00°
Space group P4/mmm (No. 123)
Unique sites:
K: 0.000 0.000 0.000 x1
Zr: 0.000 0.000 0.500 x1
Co: 0.500 0.500 0.500 x1
F: 0.000 0.500 0.000 x2

- DOS at the Fermi energy: 0.6984 states/eV/atom
- M_tot: 0.229 Bohr magnetons per cell
- Raw total energy: -18.61 eV for the cell shown

***

Here is a relaxed LaCo3F crystal from the Alexandria database. Energies are from PBE with a Hubbard U.

a = 4.433 Å, b = 4.433 Å, c = 4.433 Å
α = 90.00°, β = 90.00°, γ = 90.00°
Space group Pm-3m (No. 221)
Unique sites:
La: 0.000 0.000 0.000 x1
Co: 0.000 0.500 0.500 x3
F: 0.500 0.500 0.500 x1

- DOS at the Fermi energy: 0.5678 states/eV/atom
- Distance to the lowest polymorph of the same formula: 0 meV/atom
- M_tot: 4.544 Bohr magnetons per cell
- Raw total energy: -21.21 eV for the cell shown

***

- Which value of raw total energy does entry 7 give?
  -242.61 eV for the cell shown